Entry 1:
This record from the Alexandria database describes a geometry-optimized Mg2TeP structure. The functional is PBE.

## Properties
uncorrected formation energy: -242.3 meV/atom
uncorrected energy: -25.4 eV/cell
distance to the lowest polymorph of the same formula: 280 meV per atom

Cell lengths 3.989, 6.081, 7.705 Å; angles 90.00, 90.00, 90.00 degrees
Space group Immm (No. 71)
Symmetry-distinct sites (fractional):
Mg (0.000, 0.000, 0.212) [4 per cell]
Te (0.000, 0.500, 0.000) [2 per cell]
P (0.000, 0.500, 0.500) [2 per cell]

Entry 2:
This record from the Alexandria database describes a geometry-optimized Rb2CaSc structure. The functional is PBE.

## Properties
ΔE_f: 0.80 eV per atom
uncorrected energy: -28.2 eV/cell
distance to the lowest polymorph of the same formula: 80 meV per atom

Cell lengths 10.858, 10.858, 7.351 Å; angles 90.00, 90.00, 90.00 degrees
Space group I-42d (No. 122)
Symmetry-distinct sites (fractional):
Rb (0.235, 0.250, 0.125) [8 per cell]
Ca (0.000, 0.000, 0.500) [4 per cell]
Sc (0.000, 0.000, 0.000) [4 per cell]

Entry 3:
This record from the Alexandria database describes a geometry-optimized SmSiSn structure. The functional is PBE.

## Properties
uncorrected formation energy: -577.4 meV/atom
uncorrected energy: -63.5 eV/cell

Cell lengths 4.211, 17.607, 3.864 Å; angles 90.00, 90.00, 90.00 degrees
Space group Cmcm (No. 63)
Symmetry-distinct sites (fractional):
Sm (0.000, 0.094, 0.250) [4 per cell]
Si (0.000, 0.460, 0.250) [4 per cell]
Sn (0.000, 0.294, 0.250) [4 per cell]

Q: The lowest uncorrected energy belongs to which entry?
A: SmSiSn

Q: Which value of uncorrected energy does entry 2 give?
A: -28.2 eV/cell

Q: The highest uncorrected energy belongs to which entry?
A: Mg2TeP

Q: Which formula does entry 1 have?
A: Mg2TeP